Record 1
5
Lattice="5.468 0.000 0.000 0.000 5.468 0.000 0.000 0.000 4.560" Properties=species:S:1:pos:R:3 comment="Sr2YCdO, optimized geometry, DFT PBE-GGA" e_tot_ry_per_atom=-0.3176 dos_ef_per_ev_cell=2.61 volume_a3_per_atom=27.27 raw_formation_energy_mev_per_atom=-1181 pbc="T T T"
Sr 0.000 2.734 0.000
Sr 2.734 0.000 0.000
Y 0.000 0.000 2.280
Cd 2.734 2.734 2.280
O 0.000 0.000 0.000

---

Record 2
5
Lattice="4.601 0.000 0.000 0.000 4.601 0.000 0.000 0.000 4.601" Properties=species:S:1:pos:R:3 comment="TaCd3O, optimized geometry, DFT PBE-GGA" e_tot_ry_per_atom=-0.2520 dos_ef_per_ev_cell=2.67 volume_a3_per_atom=19.48 raw_formation_energy_mev_per_atom=483 relative_energy_ev_per_atom=0.000 pbc="T T T"
Ta 0.000 0.000 0.000
Cd 0.000 2.301 2.301
Cd 2.301 0.000 2.301
Cd 2.301 2.301 0.000
O 2.301 2.301 2.301

---

Record 3
27
Lattice="9.097 0.000 0.000 -4.549 7.878 0.000 0.000 0.000 4.657" Properties=species:S:1:pos:R:3 comment="Ta2CdO6, optimized geometry, DFT PBE-GGA" e_tot_ry_per_atom=-0.6212 dos_ef_per_ev_cell=0.00 volume_a3_per_atom=12.36 raw_formation_energy_mev_per_atom=-2411 relative_energy_ev_per_atom=0.075 pbc="T T T"
Ta -1.406 2.436 0.000
Ta -2.926 5.067 2.328
Ta 2.812 0.000 0.000
Ta 1.623 2.811 2.328
Ta 5.851 0.000 2.328
Ta 3.142 5.443 0.000
Cd 0.000 0.000 2.328
Cd 0.000 5.252 4.602
Cd 4.549 2.626 0.055
O -1.678 4.204 1.140
O -2.870 6.861 1.163
O 0.042 1.962 1.163
O -1.744 6.228 3.467
O 0.027 3.254 3.467
O 1.679 1.017 3.494
O 2.805 1.651 1.190
O -0.069 7.229 1.140
O 1.747 4.323 1.140
O 4.480 0.649 3.517
O 2.871 3.674 3.517
O 1.717 6.275 3.467
O 2.828 6.933 1.163
O 6.265 1.604 1.190
O 4.576 4.624 1.190
O 7.377 0.945 3.494
O 4.590 5.916 3.494
O 6.295 3.555 3.517

---

Record 4
36
Lattice="14.982 0.000 0.000 0.000 5.985 0.000 0.000 0.000 5.194" Properties=species:S:1:pos:R:3 comment="Ta2CdO6, optimized geometry, DFT PBE-GGA" e_tot_ry_per_atom=-0.6267 dos_ef_per_ev_cell=0.00 volume_a3_per_atom=12.94 raw_formation_energy_mev_per_atom=-2486 relative_energy_ev_per_atom=0.000 pbc="T T T"
Ta 2.485 1.043 1.201
Ta 2.485 4.942 3.798
Ta 5.006 1.949 3.798
Ta 5.006 4.036 1.201
Ta 9.976 1.949 3.992
Ta 9.976 4.036 1.396
Ta 12.497 1.043 1.396
Ta 12.497 4.942 3.992
Cd 0.000 1.878 3.895
Cd 0.000 4.107 1.298
Cd 7.491 1.114 1.298
Cd 7.491 4.871 3.895
O 1.292 2.261 0.554
O 1.292 3.724 3.151
O 1.575 0.541 2.854
O 1.575 5.444 0.257
O 3.666 0.804 4.712
O 3.666 5.181 2.115
O 3.825 2.188 2.115
O 3.825 3.797 4.712
O 5.916 2.451 0.257
O 5.916 3.533 2.854
O 6.199 0.732 3.151
O 6.199 5.253 0.554
O 8.783 0.732 4.639
O 8.783 5.253 2.043
O 9.066 2.451 2.340
O 9.066 3.533 4.937
O 11.157 2.188 0.482
O 11.157 3.797 3.079
O 11.316 0.804 3.079
O 11.316 5.181 0.482
O 13.407 0.541 4.937
O 13.407 5.444 2.340
O 13.690 2.261 2.043
O 13.690 3.724 4.639

---

Record 5
5
Lattice="-2.037 2.037 4.740 2.037 -2.037 4.740 2.037 2.037 -4.740" Properties=species:S:1:pos:R:3 comment="TaCd2O2, optimized geometry, DFT PBE-GGA" e_tot_ry_per_atom=-0.3262 dos_ef_per_ev_cell=4.51 volume_a3_per_atom=15.73 raw_formation_energy_mev_per_atom=282 relative_energy_ev_per_atom=0.000 pbc="T T T"
Ta 0.000 0.000 0.000
Cd 0.000 0.000 3.398
Cd 0.000 0.000 6.081
O 2.037 0.000 2.370
O 0.000 2.037 2.370

---

Record 6
10
Lattice="7.223 0.000 0.000 0.000 7.223 0.000 0.000 0.000 2.918" Properties=species:S:1:pos:R:3 comment="TaCd2O2, optimized geometry, DFT PBE-GGA" e_tot_ry_per_atom=-0.3153 dos_ef_per_ev_cell=8.26 volume_a3_per_atom=15.22 raw_formation_energy_mev_per_atom=430 relative_energy_ev_per_atom=0.147 pbc="T T T"
Ta 0.000 0.000 0.000
Ta 3.612 3.612 0.000
Cd 0.966 2.645 0.000
Cd 2.645 6.257 0.000
Cd 4.578 0.966 0.000
Cd 6.257 4.578 0.000
O 1.250 4.862 1.459
O 2.362 1.250 1.459
O 4.862 5.973 1.459
O 5.973 2.362 1.459

---

Record 7
15
Lattice="0.000 4.804 4.804 4.804 0.000 4.804 4.804 4.804 0.000" Properties=species:S:1:pos:R:3 comment="TaCd6O8, optimized geometry, DFT PBE-GGA" e_tot_ry_per_atom=-0.3801 dos_ef_per_ev_cell=0.62 volume_a3_per_atom=14.78 raw_formation_energy_mev_per_atom=-1371 pbc="T T T"
Ta 0.000 0.000 0.000
Cd 2.402 2.402 0.000
Cd 2.402 0.000 2.402
Cd 4.804 2.402 2.402
Cd 0.000 2.402 2.402
Cd 2.402 4.804 2.402
Cd 2.402 2.402 4.804
O 4.804 4.804 2.033
O 4.804 2.033 4.804
O 7.574 4.804 4.804
O 2.402 2.402 2.402
O 7.205 7.205 7.205
O 2.033 4.804 4.804
O 4.804 7.574 4.804
O 4.804 4.804 7.574

---

Record 8
12
Lattice="-2.661 2.661 5.409 2.661 -2.661 5.409 2.661 2.661 -5.409" Properties=species:S:1:pos:R:3 comment="TaCdO4, optimized geometry, DFT PBE-GGA" e_tot_ry_per_atom=-0.5320 dos_ef_per_ev_cell=6.94 volume_a3_per_atom=12.77 raw_formation_energy_mev_per_atom=-1805 pbc="T T T"
Ta 0.000 1.331 1.352
Ta 2.661 1.331 4.057
Cd 2.661 1.331 -1.352
Cd 0.000 1.331 6.762
O 4.068 0.364 0.297
O 0.967 0.077 2.408
O 3.628 0.077 3.002
O 1.254 2.297 0.297
O 1.407 0.364 5.112
O -0.967 2.584 2.408
O 1.694 2.584 3.002
O -1.407 2.297 5.112

---

Record 9
22
Lattice="0.000 5.258 5.258 5.258 0.000 5.258 5.258 5.258 0.000" Properties=species:S:1:pos:R:3 comment="Ta2Cd2O7, optimized geometry, DFT PBE-GGA" e_tot_ry_per_atom=-0.5677 dos_ef_per_ev_cell=0.00 volume_a3_per_atom=13.22 raw_formation_energy_mev_per_atom=-2247 pbc="T T T"
Ta 0.000 0.000 0.000
Ta 2.629 2.629 0.000
Ta 2.629 0.000 2.629
Ta 0.000 2.629 2.629
Cd 5.258 2.629 2.629
Cd 2.629 5.258 2.629
Cd 2.629 2.629 5.258
Cd 5.258 5.258 5.258
O 3.944 3.944 0.701
O 3.944 0.701 3.944
O 7.186 3.944 3.944
O 6.573 6.573 3.331
O 6.573 3.331 6.573
O 9.815 6.573 6.573
O 3.944 3.944 3.944
O 6.573 6.573 6.573
O 0.701 3.944 3.944
O 3.944 7.186 3.944
O 3.944 3.944 7.186
O 3.331 6.573 6.573
O 6.573 9.815 6.573
O 6.573 6.573 9.815

---

Record 10
5
Lattice="4.300 0.000 0.000 0.000 4.300 0.000 0.000 0.000 4.300" Properties=species:S:1:pos:R:3 comment="Ta3CdO, optimized geometry, DFT PBE-GGA" e_tot_ry_per_atom=-0.6347 dos_ef_per_ev_cell=3.73 volume_a3_per_atom=15.90 raw_formation_energy_mev_per_atom=-350 relative_energy_ev_per_atom=0.000 pbc="T T T"
Ta 0.000 0.000 2.150
Ta 0.000 2.150 0.000
Ta 2.150 0.000 0.000
Cd 2.150 2.150 2.150
O 0.000 0.000 0.000

---

Record 11
9
Lattice="5.053 -1.913 0.000 5.053 1.913 0.000 -3.134 0.000 6.460" Properties=species:S:1:pos:R:3 comment="Ta2CdO6, optimized geometry, DFT PBE-GGA" e_tot_ry_per_atom=-0.6256 dos_ef_per_ev_cell=0.00 volume_a3_per_atom=13.88 raw_formation_energy_mev_per_atom=-2471 relative_energy_ev_per_atom=0.015 pbc="T T T"
Ta 1.405 0.000 0.826
Ta 5.568 0.000 5.634
Cd -1.567 0.000 3.230
O -0.432 0.000 1.229
O 0.115 0.000 6.045
O 2.224 0.000 2.472
O 4.749 0.000 3.989
O 6.858 0.000 0.415
O 7.404 0.000 5.231

---

Record 12
30
Lattice="5.626 0.000 0.000 -2.813 4.872 0.000 0.000 0.000 14.842" Properties=species:S:1:pos:R:3 comment="Ta2Cd4O9, optimized geometry, DFT PBE-GGA" e_tot_ry_per_atom=-0.4930 dos_ef_per_ev_cell=0.00 volume_a3_per_atom=13.56 raw_formation_energy_mev_per_atom=-1908 pbc="T T T"
Ta 0.000 0.000 2.139
Ta 0.000 0.000 5.281
Ta 0.000 0.000 9.560
Ta 0.000 0.000 12.702
Cd 0.000 3.248 2.958
Cd 0.000 3.248 7.104
Cd 0.000 3.248 10.379
Cd 0.000 3.248 14.524
Cd 2.813 1.624 0.317
Cd 2.813 1.624 4.462
Cd 2.813 1.624 7.738
Cd 2.813 1.624 11.883
O -0.734 1.272 3.710
O -2.079 3.601 11.131
O -0.742 1.564 8.729
O -1.830 3.448 1.308
O 1.468 0.000 3.710
O 0.734 1.272 11.131
O 0.742 1.564 1.308
O -1.088 4.733 8.729
O 1.725 0.140 13.533
O 0.983 1.424 6.113
O 1.830 3.448 8.729
O 1.088 4.733 1.308
O 3.901 0.140 6.113
O 2.071 3.309 13.533
O 4.158 0.000 11.131
O 2.079 3.601 3.710
O 4.643 1.424 13.533
O 3.555 3.309 6.113